[1]
This record from OQMD describes crystalline TaNiB at its relaxed geometry. The functional is PBE-GGA.

POSCAR file:
```
TaNiB
1.0
-2.3091 3.1608 2.3071
2.3091 -3.1608 2.3071
2.3091 3.1608 -2.3071
Ta Ni B
2 2 2
direct
0.1174 0.2500 0.3674 Ta
0.8826 0.7500 0.6326 Ta
0.4991 0.4991 0.0000 Ni
0.4991 0.9991 0.5000 Ni
0.0010 0.5014 0.9996 B
0.5018 0.0014 0.0004 B
```

## Properties
calculated total energy: -8.17 eV per atom
magnetic moment: 0.0 μB/cell
crystal system: orthorhombic

[2]
This record from OQMD describes crystalline Ta2NiB at its relaxed geometry. The functional is PBE-GGA.

POSCAR file:
```
Ta2NiB
1.0
3.1587 0.0000 0.0000
-1.5793 2.7355 0.0000
0.0000 0.0000 12.9034
Ta Ni B
4 2 2
direct
0.3333 0.6667 0.1021 Ta
0.3333 0.6667 0.3979 Ta
0.6667 0.3333 0.6021 Ta
0.6667 0.3333 0.8979 Ta
0.3333 0.6667 0.7500 Ni
0.6667 0.3333 0.2500 Ni
0.0000 0.0000 0.0000 B
0.0000 0.0000 0.5000 B
```

## Properties
calculated total energy: -9.26 eV per atom
magnetic moment: 0.0 μB/cell
crystal system: hexagonal

[3]
This record from OQMD describes crystalline TaNiB4 at its relaxed geometry. The functional is PBE-GGA.

POSCAR file:
```
TaNiB4
1.0
3.0360 0.0000 0.0000
-1.5180 2.6292 0.0000
0.0000 0.0000 6.4027
Ta Ni B
1 1 4
direct
0.0000 0.0000 0.0000 Ta
0.0000 0.0000 0.5000 Ni
0.3333 0.6667 0.2628 B
0.3333 0.6667 0.7372 B
0.6667 0.3333 0.2628 B
0.6667 0.3333 0.7372 B
```

## Properties
polymorph energy (0 for the lowest one): 0 meV per atom
magnetic moment: 0.0 μB/cell
crystal system: hexagonal